Ba2ThPaSe6 after structural relaxation. Source: Alexandria, functional PBE-GGA.

Structure (CIF):
```
data_Ba2ThPaSe6
_cell_length_a 7.5826
_cell_length_b 8.0331
_cell_length_c 13.3447
_cell_angle_alpha 90.00
_cell_angle_beta 124.46
_cell_angle_gamma 90.00
_symmetry_space_group_name_H-M 'P 1 21/c 1'
_symmetry_Int_Tables_number 14
_symmetry_space_group_name_Hall '-P 2ybc'
loop_
_atom_site_label
_atom_site_type_symbol
_atom_site_fract_x
_atom_site_fract_y
_atom_site_fract_z
Ba1 Ba 0.2258 0.0750 0.2498
Th1 Th 0.5000 0.0000 0.0000
Pa1 Pa 0.0000 0.0000 0.5000
Se1 Se 0.1390 0.2002 0.9467
Se2 Se 0.2506 0.6971 0.9471
Se3 Se 0.3493 0.0274 0.7479
```

As for the uncorrected formation energy: -1711 kJ/mol of formula units.

---

Ba2PaTiSe6 after structural relaxation. Source: Alexandria, functional PBE-GGA.

Structure (CIF):
```
data_Ba2PaTiSe6
_cell_length_a 12.8495
_cell_length_b 7.4002
_cell_length_c 7.5553
_cell_angle_alpha 90.00
_cell_angle_beta 125.49
_cell_angle_gamma 90.00
_symmetry_space_group_name_H-M 'C 1 2/m 1'
_symmetry_Int_Tables_number 12
_symmetry_space_group_name_Hall '-C 2y'
loop_
_atom_site_label
_atom_site_type_symbol
_atom_site_fract_x
_atom_site_fract_y
_atom_site_fract_z
Ba1 Ba 0.2466 0.0000 0.2376
Pa1 Pa 0.0000 0.0000 0.5000
Ti1 Ti 0.0000 0.5000 0.0000
Se1 Se 0.0381 0.2572 0.7960
Se2 Se 0.2416 0.5000 0.3131
```

As for the uncorrected formation energy: -1535 kJ/mol of formula units.